VASP calculation (GGA-PBE) on TaCdHg4 after structural relaxation.

Cell: 5.8084 5.8084 5.8084 Å, 60.00 60.00 60.00°
Element x y z (fractional)
Ta: 0.0000 0.0000 0.0000
Cd: 0.7500 0.7500 0.7500
Hg: 0.3746 0.3746 0.3746
Hg: 0.3746 0.3746 0.8761
Hg: 0.3746 0.8761 0.3746
Hg: 0.8761 0.3746 0.3746

The density of states at the Fermi level comes out at 5.9 states/eV/cell. The calculation puts the volume at 23.09 Å³ per atom. The calculation puts the formation energy at 0.76 eV per atom. The energy is -0.11522 Ry per atom.